w | A plane-wave DFT calculation with PBE was carried out for InGa4Bi after structural relaxation.

```
data_InGa4Bi
_chemical_formula_sum 'In1 Ga4 Bi1'
_cell_length_a 4.7573
_cell_length_b 4.7573
_cell_length_c 7.1547
_cell_angle_alpha 90.00
_cell_angle_beta 90.00
_cell_angle_gamma 120.00
_symmetry_space_group_name_H-M 'P 6/m m m'
_symmetry_Int_Tables_number 191
_symmetry_space_group_name_Hall '-P 6 2'
loop_
_atom_site_label
_atom_site_fract_x
_atom_site_fract_y
_atom_site_fract_z
In1 0.0000 0.0000 0.0000
Ga1 0.3333 0.6667 0.2390
Bi1 0.0000 0.0000 0.5000
```

=====

x | A plane-wave DFT calculation with PBE was carried out for InGa4Bi after structural relaxation.

```
data_InGa4Bi
_chemical_formula_sum 'In4 Ga16 Bi4'
_cell_length_a 8.191
_cell_length_b 8.191
_cell_length_c 8.191
_cell_angle_alpha 90.00
_cell_angle_beta 90.00
_cell_angle_gamma 90.00
_symmetry_space_group_name_H-M 'F -4 3 m'
_symmetry_Int_Tables_number 216
_symmetry_space_group_name_Hall 'F -4 2 3'
loop_
_atom_site_label
_atom_site_fract_x
_atom_site_fract_y
_atom_site_fract_z
In1 0.000 0.000 0.000
Ga1 0.125 0.125 0.625
Bi1 0.250 0.250 0.250
```

=====

Sorted by energy, starting with the most stable: x, w.

=====

w | A plane-wave DFT calculation with PBE was carried out for InGaBi3 after structural relaxation.

```
data_InGaBi3
_chemical_formula_sum 'In1 Ga1 Bi3'
_cell_length_a 5.797
_cell_length_b 5.797
_cell_length_c 5.797
_cell_angle_alpha 90.00
_cell_angle_beta 90.00
_cell_angle_gamma 90.00
_symmetry_space_group_name_H-M 'P m -3 m'
_symmetry_Int_Tables_number 221
_symmetry_space_group_name_Hall '-P 4 2 3'
loop_
_atom_site_label
_atom_site_fract_x
_atom_site_fract_y
_atom_site_fract_z
In1 0.000 0.000 0.000
Ga1 0.500 0.500 0.500
Bi1 0.000 0.000 0.500
```

=====

x | A plane-wave DFT calculation with PBE was carried out for InGaBi3 after structural relaxation.

```
data_InGaBi3
_chemical_formula_sum 'In1 Ga1 Bi3'
_cell_length_a 5.563
_cell_length_b 5.563
_cell_length_c 5.563
_cell_angle_alpha 90.00
_cell_angle_beta 90.00
_cell_angle_gamma 90.00
_symmetry_space_group_name_H-M 'P m -3 m'
_symmetry_Int_Tables_number 221
_symmetry_space_group_name_Hall '-P 4 2 3'
loop_
_atom_site_label
_atom_site_fract_x
_atom_site_fract_y
_atom_site_fract_z
In1 0.000 0.000 0.000
Ga1 0.500 0.500 0.500
Bi1 0.000 0.500 0.500
```

=====

Sorted by energy, starting with the most stable: x, w.